[1]
Compound: KReC2
Source: Alexandria
Functional: meta-GGA SCAN
Structure: PBEsol geometry

Unit cell a=6.1655 b=6.1655 c=6.1655 alpha=60.00 beta=60.00 gamma=60.00
With the nearest neighbours (Å) after each atom.
Element x y z (fractional)
Re1 0.0000 0.0000 0.0000  4 C 1.89
C1 0.1250 0.1250 0.6250  2 Re 1.89
C2 0.1250 0.1250 0.1250  2 Re 1.89
C3 0.1250 0.6250 0.1250  2 Re 1.89
C4 0.6250 0.1250 0.1250  2 Re 1.89
K1 0.5000 0.5000 0.5000  12 C 3.61, 4 Re 3.78, 4 K 3.78
Re2 0.2500 0.2500 0.2500  4 C 1.89
K2 0.7500 0.7500 0.7500  12 C 3.61, 4 Re 3.78, 4 K 3.78

Summary:
- V (Å³ per cell) = 166
- calculated formation energy (eV/atom) = 0.4673
- M_tot (μB per formula unit) = 0.000
- crystal system = cubic



[2]
Compound: Cu2TcBr
Source: Alexandria
Functional: meta-GGA SCAN
Structure: PBEsol geometry

Unit cell a=2.7930 b=2.7930 c=8.5711 alpha=90.00 beta=90.00 gamma=117.97
With the nearest neighbours (Å) after each atom.
Element x y z (fractional)
Tc1 0.0000 0.0000 0.5116  2 Cu 2.53, 2 Br 2.63, 4 Tc 2.79
Cu1 0.5000 0.5000 0.7549  2 Cu 2.40, 2 Tc 2.53
Br1 0.5000 0.5000 0.2550  2 Tc 2.63, 2 Cu 2.77, 6 Br 2.79-2.88
Cu2 0.0000 0.0000 0.9785  2 Cu 2.40

Summary:
- V (Å³ per cell) = 59
- energy above the most stable polymorph in this dataset (kJ/mol of atoms) = 14.8
- M_tot (μB per formula unit) = 0.003
- crystal system = orthorhombic



[3]
Compound: BaCrRh
Source: Alexandria
Functional: meta-GGA SCAN
Structure: PBEsol geometry

Unit cell a=4.7591 b=4.7591 c=4.7591 alpha=60.00 beta=60.00 gamma=60.00
With the nearest neighbours (Å) after each atom.
Element x y z (fractional)
Rh1 0.2500 0.2500 0.2500  4 Cr 2.91, 4 Ba 2.91
Cr1 0.5000 0.5000 0.5000  4 Rh 2.91
Ba1 0.0000 0.0000 0.0000  4 Rh 2.91

Summary:
- V (Å³ per cell) = 76
- energy above the most stable polymorph in this dataset (kJ/mol of atoms) = 0.0
- calculated formation energy (eV/atom) = 0.4447
- M_tot (μB per formula unit) = 4.863
- crystal system = cubic



[4]
Compound: ZnIr2Cl
Source: Alexandria
Functional: meta-GGA SCAN
Structure: PBEsol geometry

Unit cell a=2.8023 b=2.8023 c=7.2793 alpha=90.00 beta=90.00 gamma=90.00
With the nearest neighbours (Å) after each atom.
Element x y z (fractional)
Cl1 0.5000 0.5000 0.5000  8 Ir 2.74, 4 Cl 2.80
Ir1 0.0000 0.0000 0.7604  4 Zn 2.64, 4 Cl 2.74, 4 Ir 2.80
Ir2 0.0000 0.0000 0.2396  4 Zn 2.64, 4 Cl 2.74, 4 Ir 2.80
Zn1 0.5000 0.5000 0.0000  8 Ir 2.64, 4 Zn 2.80

Summary:
- V (Å³ per cell) = 57
- energy above the most stable polymorph in this dataset (kJ/mol of atoms) = 36.6
- M_tot (μB per formula unit) = 0.000
- crystal system = tetragonal



[5]
Compound: CaNiPt2
Source: Alexandria
Functional: meta-GGA SCAN
Structure: PBEsol geometry

Unit cell a=3.9969 b=3.9922 c=4.8698 alpha=114.17 beta=114.20 gamma=90.04
With the nearest neighbours (Å) after each atom.
Element x y z (fractional)
Ca1 0.4999 0.4999 0.9998  8 Pt 2.81-2.83, 4 Ni 2.81-2.82
Pt1 0.0002 0.0002 0.0004  4 Ni 2.81-2.82, 4 Pt 2.82, 4 Ca 2.82-2.83
Ni1 0.2498 0.7498 0.4996  8 Pt 2.81-2.83, 4 Ca 2.81-2.82
Pt2 0.7501 0.2501 0.5002  4 Ca 2.81-2.82, 4 Pt 2.82, 4 Ni 2.82-2.83

Summary:
- V (Å³ per cell) = 63
- calculated formation energy (eV/atom) = -0.2967
- M_tot (μB per formula unit) = 1.362
- crystal system = tetragonal



[6]
Compound: La2HfC
Source: Alexandria
Functional: meta-GGA SCAN
Structure: PBEsol geometry

Unit cell a=4.3996 b=7.1268 c=7.1268 alpha=84.53 beta=72.02 gamma=72.02
With the nearest neighbours (Å) after each atom.
Element x y z (fractional)
C1 0.5000 0.0000 0.0000  2 Hf 2.20
La1 0.4790 0.1460 0.6460  2 C 2.65
La2 0.2710 0.8540 0.3540  2 C 2.65
Hf1 0.0000 0.0000 0.0000  2 C 2.20
C2 0.2500 0.5000 0.5000  2 Hf 2.20
Hf2 0.7500 0.5000 0.5000  2 C 2.20
La3 0.3750 0.3540 0.1460  2 C 2.65
La4 0.8750 0.6460 0.8540  2 C 2.65

Summary:
- V (Å³ per cell) = 202
- calculated formation energy (eV/atom) = 0.0743
- M_tot (μB per formula unit) = 0.000
- crystal system = tetragonal